Below is a geometry-optimized AcTb2Sm2Y2 structure, with properties calculated at the PBE level.

The structure in extended XYZ format:
```
7
Lattice="5.769 -2.580 0.000 5.769 2.580 0.000 -1.197 0.000 8.062" Properties=species:S:1:pos:R:3 pbc="T T T"
Ac 0.000 0.000 0.000
Tb 4.571 0.000 2.349
Tb 5.771 0.000 5.713
Sm 2.265 0.000 6.865
Sm 8.076 0.000 1.197
Y 1.126 0.000 3.493
Y 9.216 0.000 4.569
```

Computed properties:
calculated formation energy: 0.04 eV per atom
D(E_F): 10.7 states/eV per cell
space group: C2/m (12)